Entry from Alexandria: a geometry-optimized LiAlFeW structure (PBE-GGA).

POSCAR file:
```
LiAlFeW
1.0
0.000 2.927 2.927
2.927 0.000 2.927
2.927 2.927 0.000
Li Al Fe W
1 1 1 1
Direct
0.000 0.000 0.000 Li
0.750 0.750 0.750 Al
0.500 0.500 0.500 Fe
0.250 0.250 0.250 W
```

Calculated values
Symmetry: F-43m, No. 216
ΔH_f (0 K): -0.132 eV/atom
DFT total energy: -6.8999 eV/atom
Total magnetic moment: 0.0000 μB per atom



Entry from Alexandria: a geometry-optimized LiYAlFe structure (PBE-GGA).

POSCAR file:
```
LiYAlFe
1.0
0.000 3.270 3.270
3.270 0.000 3.270
3.270 3.270 0.000
Li Y Al Fe
1 1 1 1
Direct
0.000 0.000 0.000 Li
0.750 0.750 0.750 Y
0.250 0.250 0.250 Al
0.500 0.500 0.500 Fe
```

Calculated values
Symmetry: F-43m, No. 216
ΔH_f (0 K): -0.026 eV/atom
DFT total energy: -5.1717 eV/atom
Total magnetic moment: 0.6673 μB per atom



Entry from Alexandria: a geometry-optimized LiAlZnFe structure (PBE-GGA).

POSCAR file:
```
LiAlZnFe
1.0
0.000 2.970 2.970
2.970 0.000 2.970
2.970 2.970 0.000
Li Al Zn Fe
1 1 1 1
Direct
0.000 0.000 0.000 Li
0.750 0.750 0.750 Al
0.250 0.250 0.250 Zn
0.500 0.500 0.500 Fe
```

Calculated values
Symmetry: F-43m, No. 216
ΔH_f (0 K): -0.079 eV/atom
DFT total energy: -3.9268 eV/atom
Total magnetic moment: 0.4130 μB per atom



Entry from Alexandria: a geometry-optimized LiAlZn2Fe structure (PBE-GGA).

POSCAR file:
```
LiAlZn2Fe
1.0
4.717 0.000 0.000
0.000 4.717 0.000
0.000 0.000 4.610
Li Al Zn Fe
1 1 2 1
Direct
0.000 0.000 0.000 Li
0.500 0.500 0.500 Al
0.000 0.500 0.500 Zn
0.500 0.000 0.500 Zn
0.500 0.500 0.000 Fe
```

Calculated values
Symmetry: P4/mmm, No. 123
ΔH_f (0 K): 0.598 eV/atom
Distance to the lowest polymorph of the same formula: 0.0000 eV per atom
DFT total energy: -2.7351 eV/atom
Total magnetic moment: 0.5007 μB per atom



Entry from Alexandria: a geometry-optimized LiZrAlFe structure (PBE-GGA).

POSCAR file:
```
LiZrAlFe
1.0
0.000 3.084 3.084
3.084 0.000 3.084
3.084 3.084 0.000
Li Zr Al Fe
1 1 1 1
Direct
0.000 0.000 0.000 Li
0.250 0.250 0.250 Zr
0.750 0.750 0.750 Al
0.500 0.500 0.500 Fe
```

Calculated values
Symmetry: F-43m, No. 216
ΔH_f (0 K): -0.182 eV/atom
DFT total energy: -5.8488 eV/atom
Total magnetic moment: 0.0001 μB per atom



Entry from Alexandria: a geometry-optimized Lu2AlFe structure (PBE-GGA).

POSCAR file:
```
Lu2AlFe
1.0
0.000 3.426 3.426
3.426 0.000 3.426
3.426 3.426 0.000
Lu Al Fe
2 1 1
Direct
0.250 0.250 0.250 Lu
0.750 0.750 0.750 Lu
0.000 0.000 0.000 Al
0.500 0.500 0.500 Fe
```

Calculated values
Symmetry: Fm-3m, No. 225
ΔH_f (0 K): -0.132 eV/atom
Distance to the lowest polymorph of the same formula: 0.0740 eV per atom
DFT total energy: -5.4434 eV/atom
Total magnetic moment: 0.2508 μB per atom



Entry from Alexandria: a geometry-optimized LuAl2Fe structure (PBE-GGA).

POSCAR file:
```
LuAl2Fe
1.0
3.021 0.000 0.000
0.000 3.021 0.000
0.000 0.000 7.168
Lu Al Fe
1 2 1
Direct
0.000 0.000 0.000 Lu
0.500 0.500 0.315 Al
0.500 0.500 0.685 Al
0.000 0.000 0.500 Fe
```

Calculated values
Symmetry: P4/mmm, No. 123
ΔH_f (0 K): -0.285 eV/atom
DFT total energy: -5.4021 eV/atom
Total magnetic moment: 0.0005 μB per atom



Entry from Alexandria: a geometry-optimized LuAl3Fe structure (PBE-GGA).

POSCAR file:
```
LuAl3Fe
1.0
4.482 0.000 0.000
0.000 4.482 0.000
0.000 0.000 4.482
Lu Al Fe
1 3 1
Direct
0.000 0.000 0.000 Lu
0.000 0.500 0.500 Al
0.500 0.000 0.500 Al
0.500 0.500 0.000 Al
0.500 0.500 0.500 Fe
```

Calculated values
Symmetry: Pm-3m, No. 221
ΔH_f (0 K): -0.215 eV/atom
DFT total energy: -5.0574 eV/atom
Total magnetic moment: 0.0000 μB per atom



Entry from Alexandria: a geometry-optimized Lu2Al3Fe structure (PBE-GGA).

POSCAR file:
```
Lu2Al3Fe
1.0
2.719 1.570 4.295
-2.719 1.570 4.295
0.000 -3.140 4.295
Lu Al Fe
2 3 1
Direct
0.127 0.127 0.127 Lu
0.873 0.873 0.873 Lu
0.000 0.500 0.500 Al
0.500 0.000 0.500 Al
0.500 0.500 0.000 Al
0.500 0.500 0.500 Fe
```

Calculated values
Symmetry: R-3m, No. 166
ΔH_f (0 K): -0.417 eV/atom
DFT total energy: -5.2062 eV/atom
Total magnetic moment: 0.2969 μB per atom



Entry from Alexandria: a geometry-optimized Lu2AlFe structure (PBE-GGA).

POSCAR file:
```
Lu2AlFe
1.0
3.351 0.000 0.000
0.000 3.351 0.000
0.000 0.000 6.999
Lu Al Fe
2 1 1
Direct
0.000 0.000 0.221 Lu
0.000 0.000 0.779 Lu
0.500 0.500 0.500 Al
0.500 0.500 0.000 Fe
```

Calculated values
Symmetry: P4/mmm, No. 123
ΔH_f (0 K): -0.206 eV/atom
Distance to the lowest polymorph of the same formula: 0.0000 eV per atom
DFT total energy: -5.5174 eV/atom
Total magnetic moment: 0.0000 μB per atom



Entry from Alexandria: a geometry-optimized Lu2AlFe structure (PBE-GGA).

POSCAR file:
```
Lu2AlFe
1.0
1.652 0.954 9.867
-1.652 0.954 9.867
0.000 -1.907 9.867
Lu Al Fe
2 1 1
Direct
0.103 0.103 0.103 Lu
0.897 0.897 0.897 Lu
0.000 0.000 0.000 Al
0.500 0.500 0.500 Fe
```

Calculated values
Symmetry: R-3m, No. 166
ΔH_f (0 K): 0.365 eV/atom
Distance to the lowest polymorph of the same formula: 0.5705 eV per atom
DFT total energy: -4.9468 eV/atom
Total magnetic moment: 0.2283 μB per atom



Entry from Alexandria: a geometry-optimized LuAl8Fe4 structure (PBE-GGA).

POSCAR file:
```
LuAl8Fe4
1.0
-4.326 4.326 2.505
4.326 -4.326 2.505
4.326 4.326 -2.505
Lu Al Fe
1 8 4
Direct
0.000 0.000 0.000 Lu
0.000 0.339 0.339 Al
0.000 0.661 0.661 Al
0.281 0.500 0.781 Al
0.339 0.000 0.339 Al
0.500 0.281 0.781 Al
0.500 0.719 0.219 Al
0.661 0.000 0.661 Al
0.719 0.500 0.219 Al
0.000 0.000 0.500 Fe
0.000 0.500 0.000 Fe
0.500 0.000 0.000 Fe
0.500 0.500 0.500 Fe
```

Calculated values
Symmetry: I4/mmm, No. 139
ΔH_f (0 K): -0.426 eV/atom
DFT total energy: -5.6803 eV/atom
Total magnetic moment: 0.4054 μB per atom



Entry from Alexandria: a geometry-optimized LuAl2Fe structure (PBE-GGA).

POSCAR file:
```
LuAl2Fe
1.0
1.586 0.916 8.444
-1.586 0.916 8.444
0.000 -1.831 8.444
Lu Al Fe
1 2 1
Direct
0.000 0.000 0.000 Lu
0.234 0.234 0.234 Al
0.766 0.766 0.766 Al
0.500 0.500 0.500 Fe
```

Calculated values
Symmetry: R-3m, No. 166
ΔH_f (0 K): 0.059 eV/atom
DFT total energy: -5.0578 eV/atom
Total magnetic moment: 0.4791 μB per atom



Entry from Alexandria: a geometry-optimized LuScAlFe structure (PBE-GGA).

POSCAR file:
```
LuScAlFe
1.0
0.000 3.347 3.347
3.347 0.000 3.347
3.347 3.347 0.000
Lu Sc Al Fe
1 1 1 1
Direct
0.000 0.000 0.000 Lu
0.500 0.500 0.500 Sc
0.750 0.750 0.750 Al
0.250 0.250 0.250 Fe
```

Calculated values
Symmetry: F-43m, No. 216
ΔH_f (0 K): -0.172 eV/atom
DFT total energy: -5.9367 eV/atom
Total magnetic moment: 0.1702 μB per atom



Entry from Alexandria: a geometry-optimized LuAl3Fe7Si2 structure (PBE-GGA).

POSCAR file:
```
LuAl3Fe7Si2
1.0
5.932 -2.409 0.000
5.932 2.409 0.000
-5.914 0.000 5.942
Lu Al Fe Si
1 3 7 2
Direct
0.000 0.000 0.000 Lu
0.010 0.010 0.647 Al
0.352 0.352 0.338 Al
0.650 0.650 0.658 Al
0.001 0.001 0.346 Fe
0.283 0.283 0.779 Fe
0.490 0.490 0.759 Fe
0.499 0.995 0.997 Fe
0.502 0.502 0.213 Fe
0.728 0.728 0.232 Fe
0.995 0.499 0.997 Fe
0.490 0.996 0.492 Si
0.996 0.490 0.492 Si
```

Calculated values
Symmetry: Cm, No. 8
Formation energy without anion corrections: -262 meV/atom
DFT total energy: -6.8643 eV/atom
Total magnetic moment: 0.8576 μB per atom



Entry from Alexandria: a geometry-optimized LuZrAlFe structure (PBE-GGA).

POSCAR file:
```
LuZrAlFe
1.0
0.000 3.359 3.359
3.359 0.000 3.359
3.359 3.359 0.000
Lu Zr Al Fe
1 1 1 1
Direct
0.000 0.000 0.000 Lu
0.500 0.500 0.500 Zr
0.250 0.250 0.250 Al
0.750 0.750 0.750 Fe
```

Calculated values
Symmetry: F-43m, No. 216
ΔH_f (0 K): -0.169 eV/atom
DFT total energy: -6.4878 eV/atom
Total magnetic moment: 0.1789 μB per atom



Entry from Alexandria: a geometry-optimized MgAlFe2 structure (PBE-GGA).

POSCAR file:
```
MgAlFe2
1.0
4.425 0.000 0.000
0.000 4.425 0.000
0.000 0.000 2.767
Mg Al Fe
1 1 2
Direct
0.000 0.000 0.000 Mg
0.500 0.500 0.000 Al
0.000 0.500 0.500 Fe
0.500 0.000 0.500 Fe
```

Calculated values
Symmetry: P4/mmm, No. 123
ΔH_f (0 K): 0.075 eV/atom
DFT total energy: -5.4905 eV/atom
Total magnetic moment: 0.9584 μB per atom



Entry from Alexandria: a geometry-optimized MgAl2Fe structure (PBE-GGA).

POSCAR file:
```
MgAl2Fe
1.0
0.000 3.086 3.086
3.086 0.000 3.086
3.086 3.086 0.000
Mg Al Fe
1 2 1
Direct
0.000 0.000 0.000 Mg
0.500 0.500 0.500 Al
0.750 0.750 0.750 Al
0.250 0.250 0.250 Fe
```

Calculated values
Symmetry: F-43m, No. 216
ΔH_f (0 K): 0.121 eV/atom
DFT total energy: -4.2642 eV/atom
Total magnetic moment: 0.2619 μB per atom



Entry from Alexandria: a geometry-optimized MgAl4Fe structure (PBE-GGA).

POSCAR file:
```
MgAl4Fe
1.0
4.048 -5.300 0.000
4.048 5.300 0.000
-1.450 0.000 4.700
Mg Al Fe
2 8 2
Direct
0.092 0.908 0.750 Mg
0.908 0.092 0.250 Mg
0.147 0.362 0.880 Al
0.200 0.562 0.440 Al
0.362 0.147 0.380 Al
0.438 0.800 0.060 Al
0.562 0.200 0.940 Al
0.638 0.853 0.620 Al
0.800 0.438 0.560 Al
0.853 0.638 0.120 Al
0.499 0.501 0.250 Fe
0.501 0.499 0.750 Fe
```

Calculated values
Symmetry: C2/c, No. 15
ΔH_f (0 K): -0.079 eV/atom
DFT total energy: -4.2499 eV/atom
Total magnetic moment: 0.1848 μB per atom



Entry from Alexandria: a geometry-optimized Mg6AlFe structure (PBE-GGA).

POSCAR file:
```
Mg6AlFe
1.0
4.951 0.000 0.000
0.000 2.998 5.260
0.000 -2.998 5.260
Mg Al Fe
6 1 1
Direct
0.000 0.000 0.000 Mg
0.000 0.014 0.499 Mg
0.000 0.495 0.495 Mg
0.000 0.499 0.014 Mg
0.500 0.339 0.838 Mg
0.500 0.838 0.339 Mg
0.500 0.839 0.839 Al
0.500 0.339 0.339 Fe
```

Calculated values
Symmetry: Amm2, No. 38
ΔH_f (0 K): 0.125 eV/atom
DFT total energy: -2.5968 eV/atom
Total magnetic moment: 0.2717 μB per atom



Entry from Alexandria: a geometry-optimized MgAlFe2 structure (PBE-GGA).

POSCAR file:
```
MgAlFe2
1.0
-1.934 1.934 3.637
1.934 -1.934 3.637
1.934 1.934 -3.637
Mg Al Fe
1 1 2
Direct
0.000 0.000 0.000 Mg
0.500 0.500 0.000 Al
0.250 0.750 0.500 Fe
0.750 0.250 0.500 Fe
```

Calculated values
Symmetry: I4/mmm, No. 139
ΔH_f (0 K): 0.021 eV/atom
DFT total energy: -5.5446 eV/atom
Total magnetic moment: 0.9954 μB per atom



Entry from Alexandria: a geometry-optimized MgAl2Fe structure (PBE-GGA).

POSCAR file:
```
MgAl2Fe
1.0
2.767 0.000 0.000
0.000 4.517 0.000
0.000 0.000 4.811
Mg Al Fe
1 2 1
Direct
0.000 0.000 0.000 Mg
0.500 0.000 0.488 Al
0.500 0.500 0.811 Al
0.000 0.500 0.324 Fe
```

Calculated values
Symmetry: Pmm2, No. 25
ΔH_f (0 K): -0.002 eV/atom
DFT total energy: -4.3878 eV/atom
Total magnetic moment: 0.4129 μB per atom



Entry from Alexandria: a geometry-optimized MgAlFe2 structure (PBE-GGA).

POSCAR file:
```
MgAlFe2
1.0
4.760 -1.539 0.000
4.760 1.539 0.000
-1.898 0.000 3.821
Mg Al Fe
1 1 2
Direct
0.000 0.000 0.000 Mg
0.223 0.223 0.724 Al
0.472 0.472 0.472 Fe
0.763 0.763 0.264 Fe
```

Calculated values
Symmetry: Cm, No. 8
ΔH_f (0 K): -0.005 eV/atom
DFT total energy: -5.5709 eV/atom
Total magnetic moment: 1.0822 μB per atom



Entry from Alexandria: a geometry-optimized MgAl2Fe structure (PBE-GGA).

POSCAR file:
```
MgAl2Fe
1.0
4.777 -1.547 0.000
4.777 1.547 0.000
-1.863 0.000 4.121
Mg Al Fe
1 2 1
Direct
0.000 0.000 0.000 Mg
0.221 0.221 0.716 Al
0.779 0.779 0.284 Al
0.500 0.500 0.500 Fe
```

Calculated values
Symmetry: C2/m, No. 12
ΔH_f (0 K): -0.041 eV/atom
DFT total energy: -4.4264 eV/atom
Total magnetic moment: 0.3452 μB per atom



Entry from Alexandria: a geometry-optimized MgAl2Fe2 structure (PBE-GGA).

POSCAR file:
```
MgAl2Fe2
1.0
7.121 0.000 0.000
0.000 7.121 0.000
0.000 0.000 2.767
Mg Al Fe
2 4 4
Direct
0.000 0.000 0.000 Mg
0.500 0.500 0.000 Mg
0.149 0.351 0.500 Al
0.351 0.851 0.500 Al
0.649 0.149 0.500 Al
0.851 0.649 0.500 Al
0.145 0.645 0.000 Fe
0.355 0.145 0.000 Fe
0.645 0.855 0.000 Fe
0.855 0.355 0.000 Fe
```

Calculated values
Symmetry: P4/mbm, No. 127
ΔH_f (0 K): -0.091 eV/atom
Distance to the lowest polymorph of the same formula: 0.0271 eV per atom
DFT total energy: -5.2916 eV/atom
Total magnetic moment: 0.5379 μB per atom



Entry from Alexandria: a geometry-optimized MgAl2Fe structure (PBE-GGA).

POSCAR file:
```
MgAl2Fe
1.0
2.950 0.000 0.000
0.000 2.959 0.000
-0.010 0.000 6.896
Mg Al Fe
1 2 1
Direct
0.000 0.000 0.000 Mg
0.499 0.500 0.307 Al
0.501 0.500 0.693 Al
0.000 0.000 0.500 Fe
```

Calculated values
Symmetry: P2/m, No. 10
ΔH_f (0 K): -0.159 eV/atom
DFT total energy: -4.5448 eV/atom
Total magnetic moment: 0.0001 μB per atom



Entry from Alexandria: a geometry-optimized MgAl2Fe structure (PBE-GGA).

POSCAR file:
```
MgAl2Fe
1.0
4.719 -1.406 0.000
4.719 1.406 0.000
-0.996 0.000 4.633
Mg Al Fe
1 2 1
Direct
0.000 0.000 0.000 Mg
0.528 0.528 0.525 Al
0.770 0.770 0.279 Al
0.251 0.251 0.760 Fe
```

Calculated values
Symmetry: Cm, No. 8
ΔH_f (0 K): 0.025 eV/atom
DFT total energy: -4.3605 eV/atom
Total magnetic moment: 0.4828 μB per atom



Entry from Alexandria: a geometry-optimized MgAl2Fe structure (PBE-GGA).

POSCAR file:
```
MgAl2Fe
1.0
-1.956 1.956 3.859
1.956 -1.956 3.859
1.956 1.956 -3.859
Mg Al Fe
1 2 1
Direct
0.000 0.000 0.000 Mg
0.250 0.750 0.500 Al
0.750 0.250 0.500 Al
0.500 0.500 0.000 Fe
```

Calculated values
Symmetry: I4/mmm, No. 139
ΔH_f (0 K): -0.062 eV/atom
DFT total energy: -4.4478 eV/atom
Total magnetic moment: 0.3263 μB per atom